# 1
# TiTlI2 (GGA-PBE, relaxed)
# - Energy: -3.286 eV per atom
# - DOS(E_F): 6.6 states/eV/f.u.
data_TiTlI2
_chemical_formula_sum 'Ti4 Tl4 I8'
_cell_length_a 7.872
_cell_length_b 7.872
_cell_length_c 7.872
_cell_angle_alpha 90.00
_cell_angle_beta 90.00
_cell_angle_gamma 90.00
_symmetry_space_group_name_H-M 'F m -3 m'
_symmetry_Int_Tables_number 225
_symmetry_space_group_name_Hall '-F 4 2 3'
loop_
_atom_site_label
_atom_site_type_symbol
_atom_site_fract_x
_atom_site_fract_y
_atom_site_fract_z
Ti1 Ti 0.000 0.000 0.000
Tl1 Tl 0.000 0.000 0.500
I1 I 0.250 0.250 0.250

# 2
# TiTl3I6 (GGA-PBE, relaxed)
# - Energy: -3.028 eV per atom
# - DOS(E_F): 6.7 states/eV/f.u.
data_TiTl3I6
_chemical_formula_sum 'Ti4 Tl12 I24'
_cell_length_a 9.895
_cell_length_b 12.207
_cell_length_c 15.399
_cell_angle_alpha 90.00
_cell_angle_beta 90.00
_cell_angle_gamma 90.00
_symmetry_space_group_name_H-M 'F m m m'
_symmetry_Int_Tables_number 69
_symmetry_space_group_name_Hall '-F 2 2'
loop_
_atom_site_label
_atom_site_type_symbol
_atom_site_fract_x
_atom_site_fract_y
_atom_site_fract_z
Ti1 Ti 0.000 0.000 0.000
Tl1 Tl 0.000 0.000 0.500
Tl2 Tl 0.250 0.250 0.250
I1 I 0.000 0.227 0.000
I2 I 0.203 0.000 0.130

# 3
# Ti3TlI12 (GGA-PBE, relaxed)
# - Energy: -3.484 eV per atom
# - DOS(E_F): 10.1 states/eV/f.u.
data_Ti3TlI12
_chemical_formula_sum 'Ti6 Tl2 I24'
_cell_length_a 15.5919
_cell_length_b 15.5919
_cell_length_c 8.7080
_cell_angle_alpha 90.00
_cell_angle_beta 90.00
_cell_angle_gamma 120.00
_symmetry_space_group_name_H-M 'P 63/m'
_symmetry_Int_Tables_number 176
_symmetry_space_group_name_Hall '-P 6c'
loop_
_atom_site_label
_atom_site_type_symbol
_atom_site_fract_x
_atom_site_fract_y
_atom_site_fract_z
Ti1 Ti 0.1178 0.4038 0.2500
Tl1 Tl 0.3333 0.6667 0.7500
I1 I 0.0076 0.4830 0.2500
I2 I 0.0124 0.2145 0.2500
I3 I 0.2291 0.4580 0.0066

# 4
# TiTlI2 (GGA-PBE, relaxed)
# - Energy: -3.690 eV per atom
# - DOS(E_F): 3.5 states/eV/f.u.
data_TiTlI2
_chemical_formula_sum 'Ti3 Tl3 I6'
_cell_length_a 3.7666
_cell_length_b 3.7666
_cell_length_c 32.4722
_cell_angle_alpha 90.00
_cell_angle_beta 90.00
_cell_angle_gamma 120.00
_symmetry_space_group_name_H-M 'R -3 m'
_symmetry_Int_Tables_number 166
_symmetry_space_group_name_Hall '-R 3 2"'
loop_
_atom_site_label
_atom_site_type_symbol
_atom_site_fract_x
_atom_site_fract_y
_atom_site_fract_z
Ti1 Ti 0.0000 0.0000 0.0000
Tl1 Tl 0.0000 0.0000 0.5000
I1 I 0.0000 0.0000 0.3891

# 5
# TiTl2I6 (GGA-PBE, relaxed)
# - Energy: -3.082 eV per atom
data_TiTl2I6
_chemical_formula_sum 'Ti2 Tl4 I12'
_cell_length_a 7.691
_cell_length_b 7.691
_cell_length_c 14.138
_cell_angle_alpha 90.00
_cell_angle_beta 90.00
_cell_angle_gamma 90.00
_symmetry_space_group_name_H-M 'P 42/m n m'
_symmetry_Int_Tables_number 136
_symmetry_space_group_name_Hall '-P 4n 2n'
loop_
_atom_site_label
_atom_site_type_symbol
_atom_site_fract_x
_atom_site_fract_y
_atom_site_fract_z
Ti1 Ti 0.000 0.000 0.000
Tl1 Tl 0.000 0.000 0.335
I1 I 0.180 0.180 0.140
I2 I 0.246 0.246 0.500

# 6
# TiTl3I6 (GGA-PBE, relaxed)
# - Energy: -3.099 eV per atom
# - DOS(E_F): 6.5 states/eV/f.u.
data_TiTl3I6
_chemical_formula_sum 'Ti2 Tl6 I12'
_cell_length_a 8.040
_cell_length_b 8.884
_cell_length_c 13.676
_cell_angle_alpha 90.00
_cell_angle_beta 121.60
_cell_angle_gamma 90.00
_symmetry_space_group_name_H-M 'P 1 21/c 1'
_symmetry_Int_Tables_number 14
loop_
_symmetry_equiv_pos_as_xyz
'x,y,z'
'-x,-y,-z'
'-x,y+1/2,-z+1/2'
'x,-y+1/2,z+1/2'
loop_
_atom_site_label
_atom_site_type_symbol
_atom_site_fract_x
_atom_site_fract_y
_atom_site_fract_z
Ti1 Ti 0.000 0.000 0.000
Tl1 Tl 0.307 0.093 0.766
Tl2 Tl 0.500 0.000 0.500
I1 I 0.089 0.051 0.226
I2 I 0.221 0.729 0.072
I3 I 0.338 0.163 0.047

# 7
# TiTl2I (GGA-PBE, relaxed)
# - Energy: -2.994 eV per atom
# - DOS(E_F): 4.7 states/eV/f.u.
data_TiTl2I
_chemical_formula_sum 'Ti4 Tl8 I4'
_cell_length_a 7.963
_cell_length_b 7.963
_cell_length_c 7.963
_cell_angle_alpha 90.00
_cell_angle_beta 90.00
_cell_angle_gamma 90.00
_symmetry_space_group_name_H-M 'F m -3 m'
_symmetry_Int_Tables_number 225
_symmetry_space_group_name_Hall '-F 4 2 3'
loop_
_atom_site_label
_atom_site_type_symbol
_atom_site_fract_x
_atom_site_fract_y
_atom_site_fract_z
Ti1 Ti 0.000 0.000 0.000
Tl1 Tl 0.250 0.250 0.250
I1 I 0.000 0.000 0.500

# 8
# TiTlI5 (GGA-PBE, relaxed)
# - Energy: -3.191 eV per atom
data_TiTlI5
_chemical_formula_sum 'Ti4 Tl4 I20'
_cell_length_a 13.001
_cell_length_b 9.269
_cell_length_c 10.935
_cell_angle_alpha 90.00
_cell_angle_beta 112.65
_cell_angle_gamma 90.00
_symmetry_space_group_name_H-M 'C 1 2/c 1'
_symmetry_Int_Tables_number 15
loop_
_symmetry_equiv_pos_as_xyz
'x,y,z'
'-x,-y,-z'
'-x,y,-z+1/2'
'x,-y,z+1/2'
'x+1/2,y+1/2,z'
'-x+1/2,-y+1/2,-z'
'-x+1/2,y+1/2,-z+1/2'
'x+1/2,-y+1/2,z+1/2'
loop_
_atom_site_label
_atom_site_type_symbol
_atom_site_fract_x
_atom_site_fract_y
_atom_site_fract_z
Ti1 Ti 0.000 0.000 0.000
Tl1 Tl 0.000 0.471 0.250
I1 I 0.000 0.095 0.250
I2 I 0.088 0.264 0.986
I3 I 0.208 0.109 0.624

# 9
# Ti3Tl2I9 (GGA-PBE, relaxed)
# - Energy: -3.655 eV per atom
# - DOS(E_F): 4.5 states/eV/f.u.
data_Ti3Tl2I9
_chemical_formula_sum 'Ti12 Tl8 I36'
_cell_length_a 11.615
_cell_length_b 18.916
_cell_length_c 10.794
_cell_angle_alpha 90.00
_cell_angle_beta 114.16
_cell_angle_gamma 90.00
_symmetry_space_group_name_H-M 'C 1 2/m 1'
_symmetry_Int_Tables_number 12
loop_
_symmetry_equiv_pos_as_xyz
'x,y,z'
'-x,-y,-z'
'-x,y,-z'
'x,-y,z'
'x+1/2,y+1/2,z'
'-x+1/2,-y+1/2,-z'
'-x+1/2,y+1/2,-z'
'x+1/2,-y+1/2,z'
loop_
_atom_site_label
_atom_site_type_symbol
_atom_site_fract_x
_atom_site_fract_y
_atom_site_fract_z
Ti1 Ti 0.131 0.084 0.135
Ti2 Ti 0.133 0.000 0.866
Tl1 Tl 0.103 0.335 0.332
I1 I 0.000 0.203 0.000
I2 I 0.015 0.101 0.312
I3 I 0.189 0.500 0.675
I4 I 0.195 0.298 0.671
I5 I 0.203 0.395 0.987
I6 I 0.222 0.500 0.301

# 10
# UTiI6 (GGA-PBE, relaxed)
# - Energy: -4.373 eV per atom
# - DOS(E_F): 12.8 states/eV/f.u.
data_UTiI6
_chemical_formula_sum 'U2 Ti2 I12'
_cell_length_a 7.945
_cell_length_b 13.656
_cell_length_c 7.073
_cell_angle_alpha 90.00
_cell_angle_beta 90.29
_cell_angle_gamma 90.00
_symmetry_space_group_name_H-M 'C 1 2/m 1'
_symmetry_Int_Tables_number 12
loop_
_symmetry_equiv_pos_as_xyz
'x,y,z'
'-x,-y,-z'
'-x,y,-z'
'x,-y,z'
'x+1/2,y+1/2,z'
'-x+1/2,-y+1/2,-z'
'-x+1/2,y+1/2,-z'
'x+1/2,-y+1/2,z'
loop_
_atom_site_label
_atom_site_type_symbol
_atom_site_fract_x
_atom_site_fract_y
_atom_site_fract_z
U1 U 0.000 0.000 0.000
Ti1 Ti 0.000 0.000 0.500
I1 I 0.149 0.150 0.273
I2 I 0.202 0.500 0.270

# 11
# TiVI (GGA-PBE, relaxed)
# - Energy: -6.357 eV per atom
# - DOS(E_F): 2.1 states/eV/f.u.
data_TiVI
_chemical_formula_sum 'Ti2 V2 I2'
_cell_length_a 3.919
_cell_length_b 3.740
_cell_length_c 10.232
_cell_angle_alpha 90.00
_cell_angle_beta 101.11
_cell_angle_gamma 90.00
_symmetry_space_group_name_H-M 'P 1 21/m 1'
_symmetry_Int_Tables_number 11
loop_
_symmetry_equiv_pos_as_xyz
'x,y,z'
'-x,-y,-z'
'-x,y+1/2,-z'
'x,-y+1/2,z'
loop_
_atom_site_label
_atom_site_type_symbol
_atom_site_fract_x
_atom_site_fract_y
_atom_site_fract_z
Ti1 Ti 0.053 0.250 0.105
V1 V 0.454 0.250 0.909
I1 I 0.158 0.750 0.314

# 12
# TiVI3 (GGA-PBE, relaxed)
# - Energy: -4.000 eV per atom
# - DOS(E_F): 13.1 states/eV/f.u.
data_TiVI3
_chemical_formula_sum 'Ti1 V1 I3'
_cell_length_a 5.592
_cell_length_b 5.592
_cell_length_c 5.592
_cell_angle_alpha 90.00
_cell_angle_beta 90.00
_cell_angle_gamma 90.00
_symmetry_space_group_name_H-M 'P m -3 m'
_symmetry_Int_Tables_number 221
_symmetry_space_group_name_Hall '-P 4 2 3'
loop_
_atom_site_label
_atom_site_type_symbol
_atom_site_fract_x
_atom_site_fract_y
_atom_site_fract_z
Ti1 Ti 0.000 0.000 0.000
V1 V 0.500 0.500 0.500
I1 I 0.000 0.000 0.500

Q: The lowest energy belongs to which entry?
A: TiVI